# Li9Ti12NbO30

A relaxed structure of Li9Ti12NbO30 (PBEsol, Alexandria via LeMat-Bulk).

Its density of states at the Fermi level is 9.498 states/eV/f.u. The value obtained for the energy relative to the elements, uncorrected is -2812 meV/atom. The value obtained for the magnetization is 0.786 μB/f.u. For the theoretical density, the calculation gives 3.863 Mg/m³.

a = 5.075 Å, b = 5.075 Å, c = 23.497 Å
α = 83.80°, β = 83.80°, γ = 60.00°
Fractional positions:
1 Li 0.975 0.975 0.076
2 Li 0.756 0.756 0.731
3 Li 0.392 0.392 0.823
4 Li 0.610 0.610 0.169
5 Li 0.526 0.526 0.421
6 Li 0.474 0.474 0.579
7 Li 0.026 0.026 0.921
8 Li 0.110 0.110 0.669
9 Li 0.257 0.257 0.230
10 Ti 0.896 0.896 0.310
11 Ti 0.838 0.838 0.485
12 Ti 0.796 0.796 0.611
13 Ti 0.935 0.935 0.196
14 Ti 0.704 0.704 0.887
15 Ti 0.338 0.338 0.985
16 Ti 0.662 0.662 0.014
17 Ti 0.568 0.568 0.296
18 Ti 0.434 0.434 0.699
19 Ti 0.297 0.297 0.110
20 Ti 0.204 0.204 0.389
21 Ti 0.162 0.162 0.513
22 Nb 0.068 0.068 0.796
23 O 0.993 0.403 0.952
24 O 0.991 0.242 0.152
25 O 0.403 0.652 0.952
26 O 0.849 0.098 0.547
27 O 0.652 0.993 0.952
28 O 0.745 0.130 0.749
29 O 0.875 0.233 0.350
30 O 0.904 0.493 0.450
31 O 0.754 0.378 0.851
32 O 0.630 0.240 0.253
33 O 0.493 0.119 0.650
34 O 0.378 0.017 0.851
35 O 0.493 0.152 0.450
36 O 0.738 0.493 0.650
37 O 0.877 0.630 0.253
38 O 0.130 0.377 0.749
39 O 0.233 0.542 0.350
40 O 0.507 0.849 0.547
41 O 0.615 0.991 0.152
42 O 0.542 0.875 0.350
43 O 0.377 0.745 0.749
44 O 0.242 0.615 0.152
45 O 0.098 0.507 0.547
46 O 0.119 0.738 0.650
47 O 0.240 0.877 0.253
48 O 0.350 0.005 0.049
49 O 0.152 0.904 0.450
50 O 0.597 0.350 0.049
51 O 0.017 0.754 0.851
52 O 0.005 0.597 0.049



# SrLiCo2

A relaxed structure of SrLiCo2 (PBEsol, Alexandria via LeMat-Bulk).

Its density of states at the Fermi level is 4.073 states/eV/f.u. The uncorrected energy comes out at -4.3403 eV per atom. The value obtained for the magnetization is 2.435 μB/f.u. For the theoretical density, the calculation gives 4.339 Mg/m³.

a = 3.807 Å, b = 3.984 Å, c = 5.718 Å
α = 110.39°, β = 90.00°, γ = 90.00°
Fractional positions:
1 Co 0.000 0.150 0.301
2 Co 0.500 0.060 0.119
3 Li 0.000 0.502 0.005
4 Sr 0.500 0.777 0.554



# BeAlCl2

A relaxed structure of BeAlCl2 (PBEsol, Alexandria via LeMat-Bulk).

Its density of states at the Fermi level is 1.167 states/eV/f.u. The value obtained for the energy relative to the elements, uncorrected is -251 meV/atom. The value obtained for the magnetization is 0.001 μB/f.u. For the theoretical density, the calculation gives 2.034 Mg/m³.

a = 3.353 Å, b = 3.353 Å, c = 9.173 Å
α = 79.47°, β = 79.47°, γ = 60.00°
Fractional positions:
1 Be 0.000 0.000 0.000
2 Al 0.500 0.500 0.500
3 Cl 0.932 0.932 0.203
4 Cl 0.068 0.068 0.797



# MnSeIO2

A relaxed structure of MnSeIO2 (PBEsol, Alexandria via LeMat-Bulk).

Its density of states at the Fermi level is 4.617 states/eV/f.u. The value obtained for the energy relative to the elements, uncorrected is -281 meV/atom. The value obtained for the magnetization is 2.920 μB/f.u. For the theoretical density, the calculation gives 5.412 Mg/m³.

a = 3.767 Å, b = 3.767 Å, c = 6.330 Å
α = 90.00°, β = 90.00°, γ = 90.00°
Fractional positions:
1 I 0.000 0.000 0.500
2 Mn 0.000 0.000 0.000
3 O 0.000 0.500 0.000
4 O 0.500 0.000 0.000
5 Se 0.500 0.500 0.500



# InFeSb2

A relaxed structure of InFeSb2 (PBEsol, Alexandria via LeMat-Bulk).

Its density of states at the Fermi level is 1.585 states/eV/f.u. The value obtained for the energy relative to the elements, uncorrected is 95 meV/atom. The value obtained for the magnetization is 1.098 μB/f.u. For the theoretical density, the calculation gives 8.177 Mg/m³.

a = 3.164 Å, b = 3.164 Å, c = 8.404 Å
α = 90.00°, β = 89.98°, γ = 90.00°
Fractional positions:
1 Fe 0.500 0.500 0.500
2 In 0.500 0.500 0.000
3 Sb 0.000 0.000 0.316
4 Sb 0.000 0.000 0.684



# ScPOs2

A relaxed structure of ScPOs2 (PBEsol, Alexandria via LeMat-Bulk).

Its density of states at the Fermi level is 2.307 states/eV/f.u. The uncorrected energy comes out at -9.3919 eV per atom. The value obtained for the magnetization is 0.000 μB/f.u. For the theoretical density, the calculation gives 12.902 Mg/m³.

a = 2.867 Å, b = 3.970 Å, c = 5.161 Å
α = 90.00°, β = 90.00°, γ = 90.00°
Fractional positions:
1 Os 0.000 0.000 0.030
2 Os 0.500 0.500 0.248
3 P 0.000 0.000 0.480
4 Sc 0.500 0.500 0.741



# YCrPt2Br

A relaxed structure of YCrPt2Br (PBEsol, Alexandria via LeMat-Bulk).

Its density of states at the Fermi level is 4.642 states/eV/f.u. The value obtained for the energy relative to the elements, uncorrected is 334 meV/atom. The value obtained for the magnetization is 0.008 μB/f.u. For the theoretical density, the calculation gives 9.259 Mg/m³.

a = 4.474 Å, b = 4.474 Å, c = 5.475 Å
α = 90.00°, β = 90.00°, γ = 90.00°
Fractional positions:
1 Y 0.000 0.000 0.500
2 Cr 0.000 0.000 0.000
3 Br 0.500 0.500 0.500
4 Pt 0.000 0.500 0.000
5 Pt 0.500 0.000 0.000



# Ca2Bi10O17

A relaxed structure of Ca2Bi10O17 (PBEsol, Alexandria via LeMat-Bulk).

The value obtained for the energy relative to the elements, uncorrected is -1422 meV/atom. The value obtained for the magnetization is 0.000 μB/f.u. For the theoretical density, the calculation gives 8.310 Mg/m³.

a = 7.713 Å, b = 7.746 Å, c = 9.523 Å
α = 90.55°, β = 78.62°, γ = 61.78°
Fractional positions:
1 Ca 0.520 0.988 0.980
2 Ca 0.018 0.490 0.978
3 Bi 0.707 0.391 0.333
4 Bi 0.013 0.996 0.016
5 Bi 0.245 0.854 0.332
6 Bi 0.784 0.607 0.660
7 Bi 0.294 0.104 0.663
8 Bi 0.747 0.897 0.338
9 Bi 0.237 0.383 0.326
10 Bi 0.784 0.107 0.668
11 Bi 0.521 0.503 0.001
12 Bi 0.281 0.610 0.663
13 O 0.608 0.441 0.682
14 O 0.803 0.371 0.102
15 O 0.118 0.944 0.655
16 O 0.334 0.837 0.099
17 O 0.713 0.639 0.885
18 O 0.558 0.732 0.411
19 O 0.213 0.135 0.886
20 O 0.804 0.838 0.110
21 O 0.614 0.937 0.700
22 O 0.107 0.440 0.693
23 O 0.297 0.329 0.102
24 O 0.514 0.237 0.412
25 O 0.730 0.137 0.892
26 O 0.939 0.052 0.268
27 O 0.050 0.703 0.412
28 O 0.200 0.664 0.889
29 O 0.419 0.532 0.259



# Sr2Ga2S5

A relaxed structure of Sr2Ga2S5 (PBEsol, Alexandria via LeMat-Bulk).

Its density of states at the Fermi level is 0.000 states/eV/f.u. The value obtained for the energy relative to the elements, uncorrected is -1412 meV/atom. The value obtained for the magnetization is 0.000 μB/f.u. For the theoretical density, the calculation gives 3.846 Mg/m³.

a = 11.103 Å, b = 11.928 Å, c = 12.388 Å
α = 90.00°, β = 90.00°, γ = 90.00°
Fractional positions:
1 Sr 0.252 0.745 0.691
2 Sr 0.752 0.255 0.809
3 Sr 0.248 0.245 0.309
4 Sr 0.748 0.755 0.191
5 Sr 0.748 0.255 0.309
6 Sr 0.248 0.745 0.191
7 Sr 0.752 0.755 0.691
8 Sr 0.252 0.245 0.809
9 Sr 0.501 0.525 0.803
10 Sr 0.001 0.475 0.697
11 Sr 0.999 0.025 0.197
12 Sr 0.499 0.975 0.303
13 Sr 0.499 0.475 0.197
14 Sr 0.999 0.525 0.303
15 Sr 0.001 0.975 0.803
16 Sr 0.501 0.025 0.697
17 Ga 0.440 0.702 0.451
18 Ga 0.940 0.298 0.049
19 Ga 0.060 0.202 0.549
20 Ga 0.560 0.798 0.951
21 Ga 0.560 0.298 0.549
22 Ga 0.060 0.702 0.951
23 Ga 0.940 0.798 0.451
24 Ga 0.440 0.202 0.049
25 Ga 0.225 0.464 0.027
26 Ga 0.725 0.536 0.473
27 Ga 0.275 0.964 0.973
28 Ga 0.775 0.036 0.527
29 Ga 0.775 0.536 0.973
30 Ga 0.275 0.464 0.527
31 Ga 0.725 0.036 0.027
32 Ga 0.225 0.964 0.473
33 S 0.245 0.640 0.460
34 S 0.745 0.360 0.040
35 S 0.255 0.140 0.540
36 S 0.755 0.860 0.960
37 S 0.755 0.360 0.540
38 S 0.255 0.640 0.960
39 S 0.745 0.860 0.460
40 S 0.245 0.140 0.040
41 S 0.764 0.514 0.793
42 S 0.264 0.486 0.707
43 S 0.736 0.014 0.207
44 S 0.236 0.986 0.293
45 S 0.236 0.486 0.207
46 S 0.736 0.514 0.293
47 S 0.264 0.986 0.793
48 S 0.764 0.014 0.707
49 S 0.570 0.615 0.566
50 S 0.994 0.778 0.279
51 S 0.070 0.385 0.934
52 S 0.430 0.885 0.066
53 S 0.430 0.385 0.434
54 S 0.930 0.615 0.066
55 S 0.070 0.885 0.566
56 S 0.570 0.115 0.934
57 S 0.095 0.879 0.025
58 S 0.595 0.121 0.475
59 S 0.405 0.379 0.975
60 S 0.905 0.621 0.525
61 S 0.905 0.121 0.975
62 S 0.405 0.879 0.525
63 S 0.595 0.621 0.025
64 S 0.095 0.379 0.475
65 S 0.994 0.278 0.221
66 S 0.494 0.722 0.279
67 S 0.506 0.778 0.779
68 S 0.006 0.222 0.721
69 S 0.006 0.722 0.779
70 S 0.506 0.278 0.721
71 S 0.494 0.222 0.221
72 S 0.930 0.115 0.434



# LiTm2Co

A relaxed structure of LiTm2Co (PBEsol, Alexandria via LeMat-Bulk).

Its density of states at the Fermi level is 2.363 states/eV/f.u. The uncorrected energy comes out at -4.9863 eV per atom. The value obtained for the magnetization is 0.000 μB/f.u. For the theoretical density, the calculation gives 9.099 Mg/m³.

a = 4.706 Å, b = 4.706 Å, c = 4.706 Å
α = 60.00°, β = 60.00°, γ = 60.00°
Fractional positions:
1 Tm 0.750 0.750 0.750
2 Tm 0.250 0.250 0.250
3 Co 0.500 0.500 0.500
4 Li 0.000 0.000 0.000



# Cd2WCl

A relaxed structure of Cd2WCl (PBEsol, Alexandria via LeMat-Bulk).

Its density of states at the Fermi level is 2.646 states/eV/f.u. The value obtained for the energy relative to the elements, uncorrected is 495 meV/atom. The value obtained for the magnetization is 0.000 μB/f.u. For the theoretical density, the calculation gives 10.135 Mg/m³.

a = 2.876 Å, b = 5.234 Å, c = 5.234 Å
α = 112.50°, β = 90.00°, γ = 90.00°
Fractional positions:
1 Cl 0.500 0.500 0.500
2 W 0.500 0.000 0.000
3 Cd 0.000 0.000 0.500
4 Cd 0.000 0.500 0.000



# KPb

A relaxed structure of KPb (PBEsol, Alexandria via LeMat-Bulk).

Its density of states at the Fermi level is 1.663 states/eV/f.u. The uncorrected energy comes out at -2.6339 eV per atom. The value obtained for the magnetization is 0.000 μB/f.u. For the theoretical density, the calculation gives 4.997 Mg/m³.

a = 4.009 Å, b = 4.009 Å, c = 10.183 Å
α = 90.00°, β = 90.00°, γ = 90.00°
Fractional positions:
1 K 0.500 0.000 0.694
2 K 0.000 0.500 0.306
3 Pb 0.500 0.000 0.076
4 Pb 0.000 0.500 0.924



Q: Among the records above, which one has the lowest theoretical density?
A: BeAlCl2